# 1
BaCd3Rh (PBE, optimized geometry); ΔH_f (0 K) = -0.23 eV per atom; space group = No. 11; Fermi-level density of states = 3.0 states/eV/f.u.; excess energy over the best structure of this formula in the dataset = 0.0303 eV per atom
1.0
-3.735 -0.598 -5.442
5.116 -2.913 -3.191
1.562 -4.665 6.763
Cd Rh Ba
6 2 2
Direct
0.644 0.476 0.344
0.787 0.750 0.156
0.356 0.524 0.656
0.213 0.250 0.844
0.644 0.024 0.344
0.356 0.976 0.656
0.643 0.250 0.622
0.357 0.750 0.378
0.987 0.250 0.146
0.013 0.750 0.854



# 2
BaCd10Rh2 (PBE, optimized geometry); ΔH_f (0 K) = -0.15 eV per atom; space group = No. 69; Fermi-level density of states = 6.6 states/eV/f.u.
1.0
-1.919 3.716 4.035
-7.066 2.855 -1.805
-3.971 -3.425 5.451
Cd Rh Ba
10 2 1
Direct
0.725 0.763 0.786
0.512 0.763 0.214
0.344 0.636 0.676
0.980 0.364 0.676
0.488 0.237 0.786
0.020 0.636 0.324
0.000 0.000 0.500
0.656 0.364 0.324
0.275 0.237 0.214
0.500 0.000 0.500
0.000 0.500 0.000
0.500 0.500 0.000
0.000 0.000 0.000



# 3
BaCd2Rh (PBE, optimized geometry); ΔH_f (0 K) = -0.11 eV per atom; space group = No. 10; Fermi-level density of states = 2.1 states/eV/f.u.
1.0
4.561 0.000 0.000
0.000 5.342 -0.227
0.000 2.266 4.706
Ba Rh Cd
1 1 2
Direct
0.500 0.000 0.500
0.500 0.500 0.000
0.000 0.672 0.170
0.000 0.328 0.830



no.,final energy (eV for the cell shown)
1,-26.343
2,-27.731
3,-11.556